Compound: HfTaVO6
Source: Alexandria via LeMat-Bulk
Functional: PBE with a Hubbard U
Structure: optimized geometry

Cell: 4.7845 4.7845 9.3915 Å, 90.00 90.00 90.00°
Site moments in Bohr magnetons follow the coordinates.
Sites, in units of the cell vectors:
1 Hf 0.5000 0.5000 0.1692  0.02
2 Hf 0.0000 0.0000 0.6692  0.02
3 Ta 0.5000 0.5000 0.8324  0.03
4 Ta 0.0000 0.0000 0.3324  0.03
5 V 0.5000 0.5000 0.4997  1.90
6 V 0.0000 0.0000 0.9997  1.90
7 O 0.1960 0.8040 0.4937  -0.01
8 O 0.8040 0.1960 0.4937  -0.01
9 O 0.3040 0.3040 0.9937  -0.01
10 O 0.6960 0.6960 0.9937  -0.01
11 O 0.1926 0.8074 0.1713  0.00
12 O 0.8074 0.1926 0.1713  0.00
13 O 0.3074 0.3074 0.6713  0.00
14 O 0.6926 0.6926 0.6713  0.00
15 O 0.7971 0.2029 0.8344  -0.01
16 O 0.2029 0.7971 0.8344  -0.01
17 O 0.7029 0.7029 0.3344  -0.01
18 O 0.2971 0.2971 0.3344  -0.01

Properties
Its energy is -169.77 eV/cell.